(1)
Density functional theory data (PBE-GGA) for ErGeAsO after structural relaxation.

The structure in extended XYZ format:
```
8
Lattice="3.940 0.000 0.000 0.000 3.940 0.000 0.000 0.000 9.618" Properties=species:S:1:pos:R:3 pbc="T T T"
Er 0.985 0.985 1.057
Ge 0.985 2.955 4.809
O 2.955 0.985 0.000
As 0.985 0.985 6.834
As 2.955 2.955 2.784
O 0.985 2.955 0.000
Ge 2.955 0.985 4.809
Er 2.955 2.955 8.562
```

Values from the calculation:
- energy above the most stable polymorph in this dataset (eV/atom) = 0.000

(2)
Density functional theory data (PBE-GGA) for ErGeAsO after structural relaxation.

The structure in extended XYZ format:
```
8
Lattice="3.784 0.000 0.000 0.000 6.220 0.000 0.000 0.000 6.929" Properties=species:S:1:pos:R:3 pbc="T T T"
Er 0.000 1.575 6.719
As 0.000 1.767 2.719
O 1.892 4.586 2.190
Ge 1.892 5.502 0.525
As 0.000 4.453 6.183
O 1.892 1.634 5.655
Ge 1.892 0.718 3.990
Er 0.000 4.645 3.255
```

Values from the calculation:
- energy above the most stable polymorph in this dataset (eV/atom) = 0.116

(3)
Density functional theory data (PBE-GGA) for ErHf6As2 after structural relaxation.

The structure in extended XYZ format:
```
9
Lattice="-5.121 -5.195 1.587 1.639 1.576 -7.110 2.777 -2.727 0.036" Properties=species:S:1:pos:R:3 pbc="T T T"
Hf 1.823 -0.946 -1.864
Er 0.000 0.000 0.000
Hf -1.451 -1.508 -2.302
Hf -2.986 -3.030 0.925
Hf -1.171 -4.024 -4.044
Hf 0.033 -2.738 0.438
Hf 0.956 0.919 -4.147
As 0.775 -2.044 -4.193
As -1.479 -4.301 -1.294
```

Values from the calculation:
- energy (eV per atom) = -8.41

(4)
Density functional theory data (PBE-GGA) for ErHfAs after structural relaxation.

The structure in extended XYZ format:
```
3
Lattice="4.287 -0.442 -1.629 2.787 -3.250 1.702 1.121 -3.652 -2.575" Properties=species:S:1:pos:R:3 pbc="T T T"
As 0.000 0.000 0.000
Hf 6.146 -5.508 -1.877
Er 2.049 -1.836 -0.626
```

Values from the calculation:
- energy (eV per atom) = -6.80

(5)
Density functional theory data (PBE-GGA) for Er4Hf3As4 after structural relaxation.

The structure in extended XYZ format:
```
11
Lattice="7.369 0.000 0.000 0.000 3.841 0.000 -1.234 0.000 8.830" Properties=species:S:1:pos:R:3 pbc="T T T"
Er 0.564 0.000 3.956
Hf 6.667 1.921 1.752
Er 0.538 1.921 7.922
Hf 3.054 1.921 2.869
Hf 3.538 0.000 5.950
As 5.053 0.000 3.249
As 1.514 0.000 1.314
As 1.826 1.921 5.379
As 4.814 1.921 7.840
Er 5.865 1.921 5.266
Er 4.356 0.000 0.394
```

Values from the calculation:
- energy (eV per atom) = -6.74

(6)
Density functional theory data (PBE-GGA) for ErHfNi2As2 after structural relaxation.

The structure in extended XYZ format:
```
12
Lattice="3.981 0.000 0.000 -1.990 3.447 0.000 0.000 0.000 14.681" Properties=species:S:1:pos:R:3 pbc="T T T"
As 1.990 1.149 12.903
Er 0.000 0.000 0.000
As 1.990 1.149 9.119
As 0.000 2.298 1.779
Ni 1.990 1.149 5.044
Hf 0.000 0.000 3.670
As 0.000 2.298 5.562
Ni 0.000 2.298 12.385
Er 0.000 0.000 7.341
Ni 1.990 1.149 2.297
Hf 0.000 0.000 11.011
Ni 0.000 2.298 9.637
```

Values from the calculation:
- energy above the most stable polymorph in this dataset (eV/atom) = 0.000

(7)
Density functional theory data (PBE-GGA) for ErHfNi2As2 after structural relaxation.

The structure in extended XYZ format:
```
12
Lattice="-1.710 -0.558 3.519 0.707 -3.086 -2.365 13.479 -1.723 6.275" Properties=species:S:1:pos:R:3 pbc="T T T"
Ni 4.320 -2.068 3.990
As 1.536 -2.452 0.358
Hf 6.739 -0.861 3.138
As 5.006 -2.896 1.973
Er 10.109 -1.292 4.707
Hf 0.000 0.000 0.000
As 10.940 -2.914 7.072
As 7.470 -2.471 5.456
Er 3.370 -0.431 1.569
Ni 11.864 -3.772 5.166
Ni 8.156 -3.298 3.440
Ni 0.611 -1.594 2.263
```

Values from the calculation:
- energy above the most stable polymorph in this dataset (eV/atom) = 0.083

(8)
Density functional theory data (PBE-GGA) for ErHgAs after structural relaxation.

The structure in extended XYZ format:
```
3
Lattice="0.773 -3.973 2.596 1.777 0.347 4.455 -2.797 -0.979 3.787" Properties=species:S:1:pos:R:3 pbc="T T T"
Hg -0.185 -3.454 8.128
As 0.000 0.000 0.000
Er -0.062 -1.151 2.709
```

Values from the calculation:
- energy above the most stable polymorph in this dataset (eV/atom) = 0.211

(9)
Density functional theory data (PBE-GGA) for ErHgAs after structural relaxation.

The structure in extended XYZ format:
```
3
Lattice="0.000 3.438 3.438 3.438 0.000 3.438 3.438 3.438 0.000" Properties=species:S:1:pos:R:3 pbc="T T T"
Hg 5.157 5.157 5.157
Er 0.000 0.000 0.000
As 1.719 1.719 1.719
```

Values from the calculation:
- energy above the most stable polymorph in this dataset (eV/atom) = 0.000

(10)
Density functional theory data (PBE-GGA) for ErHgAsO after structural relaxation.

The structure in extended XYZ format:
```
8
Lattice="4.410 0.000 0.000 0.000 5.914 0.000 0.000 0.000 6.513" Properties=species:S:1:pos:R:3 pbc="T T T"
As 0.000 4.401 5.614
O 2.205 1.416 5.955
Hg 2.205 1.400 3.620
O 2.205 4.498 2.698
Er 0.000 1.462 6.006
Er 0.000 4.452 2.749
As 0.000 1.512 2.357
Hg 2.205 4.514 0.363
```

Values from the calculation:
- energy above the most stable polymorph in this dataset (eV/atom) = 0.254

(11)
Density functional theory data (PBE-GGA) for ErHgAsO after structural relaxation.

The structure in extended XYZ format:
```
8
Lattice="5.782 0.000 0.000 0.000 5.782 0.000 0.000 0.000 4.824" Properties=species:S:1:pos:R:3 pbc="T T T"
Er 2.891 2.891 2.412
Er 0.000 0.000 2.412
O 0.000 0.000 0.000
O 2.891 2.891 0.000
As 0.000 2.891 2.451
Hg 0.000 2.891 0.038
Hg 2.891 0.000 4.787
As 2.891 0.000 2.373
```

Values from the calculation:
- energy above the most stable polymorph in this dataset (eV/atom) = 0.507

(12)
Density functional theory data (PBE-GGA) for ErHgAsO after structural relaxation.

The structure in extended XYZ format:
```
8
Lattice="-3.836 -1.143 -1.136 1.949 -0.625 -5.954 1.563 -6.423 1.186" Properties=species:S:1:pos:R:3 pbc="T T T"
Hg 2.355 -6.589 -1.322
Hg 1.892 -3.480 -2.888
Er -0.963 -4.357 0.015
O -0.175 -6.170 -0.820
O 0.167 -3.318 -4.844
As 2.837 -5.827 -3.717
As 0.926 -2.253 -0.860
Er 0.130 -1.746 -6.304
```

Values from the calculation:
- energy above the most stable polymorph in this dataset (eV/atom) = 0.252

(13)
Density functional theory data (PBE-GGA) for ErHgAsO after structural relaxation.

The structure in extended XYZ format:
```
8
Lattice="4.084 0.000 0.000 0.000 4.084 0.000 0.000 0.000 9.162" Properties=species:S:1:pos:R:3 pbc="T T T"
Hg 0.000 0.000 4.581
As 2.042 0.000 6.536
Er 0.000 2.042 8.164
Hg 2.042 2.042 4.581
O 2.042 2.042 0.000
Er 2.042 0.000 0.999
As 0.000 2.042 2.626
O 0.000 0.000 0.000
```

Values from the calculation:
- energy above the most stable polymorph in this dataset (eV/atom) = 0.000